Compound: Re2PRu
Source: Alexandria
Functional: PBE
Structure: optimized geometry

Geometry as CIF:
```
data_Re2PRu
_chemical_formula_sum 'Re4 P2 Ru2'
_symmetry_space_group_name_H-M 'A m m 2'
_symmetry_Int_Tables_number 38
_symmetry_space_group_name_Hall 'A 2 -2'
_cell_length_a 3.9285
_cell_length_b 2.8324
_cell_length_c 10.1383
_cell_angle_alpha 90.00
_cell_angle_beta 90.00
_cell_angle_gamma 90.00
loop_
_atom_site_label
_atom_site_type_symbol
_atom_site_fract_x
_atom_site_fract_y
_atom_site_fract_z
Re1 Re 0.0000 0.0000 0.0000
Re2 Re 0.5000 0.0000 0.3772
P1 P 0.0000 0.0000 0.7673
Ru1 Ru 0.5000 0.0000 0.6448
```

Properties
Volume: 112.8 Å³ per cell
Fermi-level density of states: 5.793 states/eV per cell
Energy: -9.96 eV/atom